[1]
A geometry-optimized AlZnP2 structure, computed with PBE-GGA.

energy relative to the elements = -0.092 eV/atom
E above lowest polymorph = 0.132 eV/atom
final energy = -4.05 eV/atom
total moment = 0.00 μB/cell

a = 3.596 Å, b = 3.596 Å, c = 5.015 Å
α = 90.00°, β = 90.00°, γ = 90.00°
Space group P4/mmm (No. 123)
Symmetry-distinct sites (fractional):
Al 0.000 0.000 0.000 (multiplicity 1)
Zn 0.500 0.500 0.500 (multiplicity 1)
P 0.000 0.000 0.500 (multiplicity 1)
P 0.500 0.500 0.000 (multiplicity 1)



[2]
A geometry-optimized TlZn2Ru structure, computed with PBE-GGA.

energy relative to the elements = 0.307 eV/atom
E above lowest polymorph = 0.122 eV/atom
final energy = -3.24 eV/atom
total moment = 1.25 μB/cell

a = 3.0690 Å, b = 3.0690 Å, c = 26.6286 Å
α = 90.00°, β = 90.00°, γ = 120.00°
Space group R-3m (No. 166, hexagonal axes)
Symmetry-distinct sites (fractional):
Tl 0.0000 0.0000 0.0000 (multiplicity 3)
Zn 0.0000 0.0000 0.2390 (multiplicity 6)
Ru 0.0000 0.0000 0.5000 (multiplicity 3)



[3]
A geometry-optimized HfSOF2 structure, computed with PBE-GGA.

raw formation energy = -2182 meV per atom
E above lowest polymorph = 0.000 eV/atom
final energy = -6.74 eV/atom
total moment = 2.00 μB/cell

a = 4.233 Å, b = 4.233 Å, c = 4.055 Å
α = 90.00°, β = 90.00°, γ = 90.00°
Space group P4/mmm (No. 123)
Symmetry-distinct sites (fractional):
Hf 0.000 0.000 0.000 (multiplicity 1)
S 0.500 0.500 0.500 (multiplicity 1)
O 0.000 0.000 0.500 (multiplicity 1)
F 0.000 0.500 0.000 (multiplicity 2)



[4]
A geometry-optimized TaMn2Au structure, computed with PBE-GGA.

energy relative to the elements = 0.276 eV/atom
E above lowest polymorph = 0.276 eV/atom
final energy = -8.09 eV/atom
total moment = 18.31 μB/cell

a = 2.8562 Å, b = 2.8562 Å, c = 27.2465 Å
α = 90.00°, β = 90.00°, γ = 120.00°
Space group R3m (No. 160, hexagonal axes)
Symmetry-distinct sites (fractional):
Ta 0.0000 0.0000 0.0000 (multiplicity 3)
Mn 0.0000 0.0000 0.4927 (multiplicity 3)
Mn 0.0000 0.0000 0.7491 (multiplicity 3)
Au 0.0000 0.0000 0.2430 (multiplicity 3)



[5]
A geometry-optimized FeNi4Sb structure, computed with PBE-GGA.

raw formation energy = 98 meV per atom
final energy = -5.85 eV/atom
total moment = 16.69 μB/cell

a = 6.764 Å, b = 6.764 Å, c = 6.764 Å
α = 90.00°, β = 90.00°, γ = 90.00°
Space group F-43m (No. 216)
Symmetry-distinct sites (fractional):
Fe 0.000 0.000 0.000 (multiplicity 4)
Ni 0.126 0.126 0.374 (multiplicity 16)
Sb 0.250 0.250 0.750 (multiplicity 4)



[6]
A geometry-optimized ZrAlSi2 structure, computed with PBE-GGA.

raw formation energy = -66 meV per atom
final energy = -5.85 eV/atom
total moment = 0.00 μB/cell

a = 5.367 Å, b = 4.228 Å, c = 5.930 Å
α = 90.00°, β = 90.00°, γ = 90.00°
Space group Pmma (No. 51)
Symmetry-distinct sites (fractional):
Zr 0.250 0.000 0.170 (multiplicity 2)
Al 0.250 0.000 0.656 (multiplicity 2)
Si 0.000 0.500 0.500 (multiplicity 2)
Si 0.250 0.500 0.886 (multiplicity 2)



[7]
A geometry-optimized Si2AsP structure, computed with PBE-GGA.

raw formation energy = 461 meV per atom
E above lowest polymorph = 0.386 eV/atom
final energy = -4.77 eV/atom
total moment = 0.00 μB/cell

a = 3.315 Å, b = 5.172 Å, c = 8.825 Å
α = 90.00°, β = 90.00°, γ = 90.00°
Space group Cmm2 (No. 35)
Symmetry-distinct sites (fractional):
Si 0.000 0.000 0.000 (multiplicity 2)
Si 0.000 0.500 0.224 (multiplicity 2)
As 0.000 0.500 0.792 (multiplicity 2)
P 0.000 0.000 0.401 (multiplicity 2)



[8]
A geometry-optimized ZnBiO3 structure, computed with PBE-GGA.

raw formation energy = -381 meV per atom
final energy = -4.39 eV/atom
total moment = 0.00 μB/cell

a = 4.198 Å, b = 4.198 Å, c = 4.198 Å
α = 90.00°, β = 90.00°, γ = 90.00°
Space group Pm-3m (No. 221)
Symmetry-distinct sites (fractional):
Zn 0.000 0.000 0.000 (multiplicity 1)
Bi 0.500 0.500 0.500 (multiplicity 1)
O 0.000 0.500 0.500 (multiplicity 3)



[9]
A geometry-optimized Zr2Ge2H structure, computed with PBE-GGA.

final energy = -6.37 eV/atom
total moment = 0.00 μB/cell

a = 6.608 Å, b = 6.608 Å, c = 4.034 Å
α = 90.00°, β = 90.00°, γ = 90.00°
Space group P4/mbm (No. 127)
Symmetry-distinct sites (fractional):
Zr 0.180 0.320 0.000 (multiplicity 4)
Ge 0.131 0.631 0.500 (multiplicity 4)
H 0.000 0.000 0.000 (multiplicity 2)



[10]
A geometry-optimized ScSb2H structure, computed with PBE-GGA.

E above lowest polymorph = 0.338 eV/atom
final energy = -4.25 eV/atom
total moment = 2.84 μB/cell

a = 6.965 Å, b = 6.965 Å, c = 6.965 Å
α = 90.00°, β = 90.00°, γ = 90.00°
Space group Fm-3m (No. 225)
Symmetry-distinct sites (fractional):
Sc 0.000 0.000 0.000 (multiplicity 4)
Sb 0.250 0.250 0.250 (multiplicity 8)
H 0.000 0.000 0.500 (multiplicity 4)



[11]
A geometry-optimized Ca3Tc structure, computed with PBE-GGA.

energy relative to the elements = 0.509 eV/atom
final energy = -3.58 eV/atom
total moment = 3.53 μB/cell

a = 9.165 Å, b = 11.155 Å, c = 4.670 Å
α = 90.00°, β = 90.00°, γ = 90.00°
Space group Cmcm (No. 63)
Symmetry-distinct sites (fractional):
Ca 0.000 0.112 0.250 (multiplicity 4)
Ca 0.191 0.370 0.250 (multiplicity 8)
Tc 0.000 0.272 0.750 (multiplicity 4)



[12]
A geometry-optimized CdHg structure, computed with PBE-GGA.

energy relative to the elements = 0.220 eV/atom
final energy = -0.39 eV/atom
total moment = 0.00 μB/cell

a = 8.990 Å, b = 8.990 Å, c = 8.990 Å
α = 90.00°, β = 90.00°, γ = 90.00°
Space group I-43m (No. 217)
Symmetry-distinct sites (fractional):
Cd 0.122 0.122 0.122 (multiplicity 8)
Hg 0.200 0.200 0.800 (multiplicity 8)